A geometry-optimized Mg3TiPt4 structure. Source: Alexandria, functional GGA-PBE.

POSCAR file:
```
Mg3TiPt4
1.0
-2.701 -1.213 -0.232
1.127 -2.191 -1.659
2.451 -7.734 11.883
Mg Pt Ti
3 4 1
Cartesian
-0.169 -3.653 2.051
0.439 -5.569 4.996
1.046 -7.486 7.941
2.155 -6.799 10.447
0.296 -0.935 1.437
0.920 -2.903 4.461
1.531 -4.831 7.422
-0.787 -1.702 -0.946
```

Formation enthalpy at 0 K ... -0.886 eV/atom